1.
The following is a DFT calculation (GGA-PBE) of a relaxed LiSnCl2 crystal.

abc: 5.076 5.076 5.076
angles: 60.00 60.00 60.00
Fractional coordinates of all 4 atoms:
Li  0.000  0.000  0.000
Sn  0.500  0.500  0.500
Cl  0.250  0.250  0.250
Cl  0.750  0.750  0.750

Summary:
The value obtained for the offset from the most stable computed form is 455 meV/atom. Its density of states at the Fermi level is 1.82 states/eV/f.u. As for the total magnetization: 0.000 μB/atom. As for the uncorrected formation energy: -705 meV/atom.

2.
The following is a DFT calculation (GGA-PBE) of a relaxed NdBIrRh2 crystal.

abc: 4.290 4.290 4.232
angles: 90.00 90.00 90.00
Fractional coordinates of all 5 atoms:
Nd  0.000  0.000  0.000
B  0.500  0.500  0.500
Ir  0.500  0.500  0.000
Rh  0.000  0.500  0.500
Rh  0.500  0.000  0.500

Summary:
Its density of states at the Fermi level is 4.47 states/eV/f.u. For the formation enthalpy at 0 K, the calculation gives -62.5 kJ/mol of atoms. As for the total magnetization: 0.000 μB/atom.

3.
The following is a DFT calculation (GGA-PBE) of a relaxed K2UAgS4 crystal.

abc: 6.796 6.796 6.796
angles: 113.57 113.57 101.54
Fractional coordinates of all 8 atoms:
K  0.000  0.000  0.000
K  0.750  0.250  0.500
U  0.250  0.750  0.500
Ag  0.500  0.500  0.000
S  0.206  0.652  0.082
S  0.348  0.431  0.554
S  0.569  0.123  0.918
S  0.877  0.794  0.446

Summary:
Its density of states at the Fermi level is 6.22 states/eV/f.u. As for the total magnetization: 0.125 μB/atom. As for the uncorrected formation energy: -899 meV/atom.

Question: Look up the density of states at the Fermi level of the second one.
Answer: 4.47 states/eV/f.u.